Record 1
## PS2O (PBE)

Data for an optimized crystal structure of PS2O.

Unit cell a=7.2292 b=4.4421 c=10.5395 alpha=90.00 beta=120.51 gamma=90.00
Positions (direct):
P 0.0540 0.0535 0.3700
P 0.0540 0.4465 0.8700
P 0.9460 0.5535 0.1300
P 0.9460 0.9465 0.6300
S 0.2071 0.6663 0.1094
S 0.2071 0.8337 0.6094
S 0.4454 0.1744 0.0266
S 0.4454 0.3256 0.5266
S 0.5546 0.6744 0.4734
S 0.5546 0.8256 0.9734
S 0.7929 0.1663 0.3906
S 0.7929 0.3337 0.8906
O 0.0284 0.7253 0.2985
O 0.0284 0.7747 0.7985
O 0.9716 0.2253 0.2015
O 0.9716 0.2747 0.7015

Raw formation energy ... -0.39 eV per atom
Crystal system ... monoclinic
ΔE to the lowest computed polymorph ... 0.000 eV/atom
Volume ... 291.6 Å³ per cell
SG ... P2_1/c
DOS at the Fermi energy ... 1.10 states/eV/f.u.


Record 2
## PSO3 (PBE)

Data for an optimized crystal structure of PSO3.

Unit cell a=3.7176 b=3.7176 c=3.7176 alpha=90.00 beta=90.00 gamma=90.00
Positions (direct):
P 0.0000 0.0000 0.0000
S 0.5000 0.5000 0.5000
O 0.0000 0.5000 0.5000
O 0.5000 0.0000 0.5000
O 0.5000 0.5000 0.0000

Raw formation energy ... 0.49 eV per atom
Crystal system ... cubic
Volume ... 51.4 Å³ per cell
SG ... Pm-3m
DOS at the Fermi energy ... 3.61 states/eV/f.u.


Record 3
## PS3O (PBE)

Data for an optimized crystal structure of PS3O.

Unit cell a=4.3980 b=4.3980 c=4.3980 alpha=90.00 beta=90.00 gamma=90.00
Positions (direct):
P 0.0000 0.0000 0.0000
S 0.0000 0.0000 0.5000
S 0.0000 0.5000 0.0000
S 0.5000 0.0000 0.0000
O 0.5000 0.5000 0.5000

Raw formation energy ... 1.21 eV per atom
Crystal system ... cubic
ΔE to the lowest computed polymorph ... 0.108 eV/atom
Volume ... 85.1 Å³ per cell
SG ... Pm-3m
DOS at the Fermi energy ... 8.31 states/eV/f.u.


Record 4
## PS3O (PBE)

Data for an optimized crystal structure of PS3O.

Unit cell a=4.2227 b=4.2227 c=4.2227 alpha=90.00 beta=90.00 gamma=90.00
Positions (direct):
P 0.0000 0.0000 0.0000
S 0.0000 0.5000 0.5000
S 0.5000 0.0000 0.5000
S 0.5000 0.5000 0.0000
O 0.5000 0.5000 0.5000

Raw formation energy ... 1.11 eV per atom
Crystal system ... cubic
ΔE to the lowest computed polymorph ... 0.000 eV/atom
Volume ... 75.3 Å³ per cell
SG ... Pm-3m
DOS at the Fermi energy ... 3.86 states/eV/f.u.


Record 5
## P4S3O6 (PBE)

Data for an optimized crystal structure of P4S3O6.

Unit cell a=13.0527 b=8.7918 c=10.3727 alpha=90.00 beta=90.89 gamma=90.00
Positions (direct):
P 0.1317 0.0154 0.3304
P 0.1317 0.4846 0.8304
P 0.2101 0.0581 0.5942
P 0.2101 0.4419 0.0942
P 0.2660 0.7108 0.9438
P 0.2660 0.7892 0.4438
P 0.3464 0.0833 0.3726
P 0.3464 0.4167 0.8726
P 0.6536 0.5833 0.1274
P 0.6536 0.9167 0.6274
P 0.7340 0.2108 0.5562
P 0.7340 0.2892 0.0562
P 0.7899 0.5581 0.9058
P 0.7899 0.9419 0.4058
P 0.8683 0.5154 0.1696
P 0.8683 0.9846 0.6696
S 0.0201 0.0454 0.2163
S 0.0201 0.4546 0.7163
S 0.2959 0.5803 0.4504
S 0.2959 0.9197 0.9504
S 0.4594 0.1844 0.3034
S 0.4594 0.3156 0.8034
S 0.5406 0.6844 0.1966
S 0.5406 0.8156 0.6966
S 0.7041 0.0803 0.0496
S 0.7041 0.4197 0.5496
S 0.9799 0.5454 0.2837
S 0.9799 0.9546 0.7837
O 0.1196 0.0736 0.4776
O 0.1196 0.4264 0.9776
O 0.1685 0.6609 0.8515
O 0.1685 0.8391 0.3515
O 0.2389 0.0971 0.2890
O 0.2389 0.4029 0.7890
O 0.2386 0.6272 0.0781
O 0.2386 0.8728 0.5781
O 0.3095 0.1330 0.5151
O 0.3095 0.3670 0.0151
O 0.3567 0.6017 0.8879
O 0.3567 0.8983 0.3879
O 0.6433 0.1017 0.6121
O 0.6433 0.3983 0.1121
O 0.6905 0.6330 0.9849
O 0.6905 0.8670 0.4849
O 0.7614 0.1272 0.4219
O 0.7614 0.3728 0.9219
O 0.7611 0.5971 0.2110
O 0.7611 0.9029 0.7110
O 0.8315 0.1609 0.6485
O 0.8315 0.3391 0.1485
O 0.8804 0.5736 0.0224
O 0.8804 0.9264 0.5224

Raw formation energy ... -1.30 eV per atom
Crystal system ... monoclinic
Volume ... 1190.2 Å³ per cell
SG ... P2_1/c
DOS at the Fermi energy ... 0.00 states/eV/f.u.


Record 6
## PS2O (PBE)

Data for an optimized crystal structure of PS2O.

Unit cell a=6.7865 b=6.7865 c=6.7865 alpha=28.79 beta=28.79 gamma=28.79
Positions (direct):
P 0.0000 0.0000 0.0000
S 0.4072 0.4072 0.4072
S 0.5928 0.5928 0.5928
O 0.5000 0.5000 0.5000

Raw formation energy ... 0.27 eV per atom
Crystal system ... trigonal
ΔE to the lowest computed polymorph ... 0.658 eV/atom
Volume ... 64.1 Å³ per cell
SG ... R-3m
DOS at the Fermi energy ... 1.43 states/eV/f.u.


Record 7
## P4SO7 (PBE)

Data for an optimized crystal structure of P4SO7.

Unit cell a=7.2522 b=7.3645 c=8.8178 alpha=93.64 beta=104.53 gamma=96.27
Positions (direct):
P 0.1067 0.2768 0.2716
P 0.2069 0.0172 0.8576
P 0.2402 0.7590 0.6128
P 0.2674 0.6441 0.9295
P 0.7326 0.3559 0.0705
P 0.7598 0.2410 0.3872
P 0.7931 0.9828 0.1424
P 0.8933 0.7232 0.7284
S 0.3356 0.7328 0.4337
S 0.6644 0.2672 0.5663
O 0.0103 0.7107 0.5855
O 0.0176 0.0576 0.1956
O 0.0301 0.6127 0.8609
O 0.2547 0.2100 0.9198
O 0.2784 0.9684 0.7014
O 0.2981 0.8747 0.9754
O 0.3280 0.6421 0.7570
O 0.6720 0.3579 0.2430
O 0.7019 0.1253 0.0246
O 0.7216 0.0316 0.2986
O 0.7453 0.7900 0.0802
O 0.9699 0.3873 0.1391
O 0.9824 0.9424 0.8044
O 0.9897 0.2893 0.4145

Raw formation energy ... -1.59 eV per atom
Crystal system ... triclinic
Volume ... 451.1 Å³ per cell
SG ... P-1
DOS at the Fermi energy ... 0.00 states/eV/f.u.


Record 8
## PS2O (PBE)

Data for an optimized crystal structure of PS2O.

Unit cell a=5.4582 b=5.4582 c=5.4582 alpha=114.30 beta=114.30 gamma=100.19
Positions (direct):
P 0.0000 0.0000 0.0000
P 0.7500 0.2500 0.5000
S 0.1144 0.6250 0.9894
S 0.3750 0.3644 0.4894
S 0.6356 0.1250 0.0106
S 0.8750 0.8856 0.5106
O 0.2500 0.7500 0.5000
O 0.5000 0.5000 0.0000

Raw formation energy ... 0.54 eV per atom
Crystal system ... tetragonal
ΔE to the lowest computed polymorph ... 0.929 eV/atom
Volume ... 122.8 Å³ per cell
SG ... I-42d
DOS at the Fermi energy ... 2.16 states/eV/f.u.


Record 9
## PSO3 (PBE)

Data for an optimized crystal structure of PSO3.

Unit cell a=3.5532 b=3.5532 c=3.5532 alpha=90.00 beta=90.00 gamma=90.00
Positions (direct):
P 0.0000 0.0000 0.0000
S 0.5000 0.5000 0.5000
O 0.0000 0.0000 0.5000
O 0.0000 0.5000 0.0000
O 0.5000 0.0000 0.0000

Raw formation energy ... -0.05 eV per atom
Crystal system ... cubic
Volume ... 44.9 Å³ per cell
SG ... Pm-3m
DOS at the Fermi energy ... 2.83 states/eV/f.u.


Record 10
## P4SO6 (PBE)

Data for an optimized crystal structure of P4SO6.

Unit cell a=8.6065 b=9.9863 c=10.2470 alpha=90.00 beta=90.26 gamma=90.00
Positions (direct):
P 0.0282 0.0458 0.2313
P 0.0282 0.4542 0.7313
P 0.2902 0.5942 0.6127
P 0.2902 0.9058 0.1127
P 0.3030 0.1999 0.1591
P 0.3030 0.3001 0.6591
P 0.3129 0.0118 0.3836
P 0.3129 0.4882 0.8836
P 0.6871 0.5118 0.1164
P 0.6871 0.9882 0.6164
P 0.6970 0.6999 0.3409
P 0.6970 0.8001 0.8409
P 0.7098 0.0942 0.8873
P 0.7098 0.4058 0.3873
P 0.9718 0.5458 0.2687
P 0.9718 0.9542 0.7687
S 0.1916 0.5520 0.2580
S 0.1916 0.9480 0.7580
S 0.8084 0.0520 0.2420
S 0.8084 0.4480 0.7420
O 0.0982 0.5696 0.6377
O 0.0982 0.9304 0.1377
O 0.1092 0.1806 0.1765
O 0.1092 0.3194 0.6765
O 0.1178 0.0207 0.3682
O 0.1178 0.4793 0.8682
O 0.3417 0.0617 0.0753
O 0.3417 0.4383 0.5753
O 0.3503 0.5994 0.7676
O 0.3503 0.9006 0.2676
O 0.3603 0.1535 0.3077
O 0.3603 0.3465 0.8077
O 0.6397 0.6535 0.1923
O 0.6397 0.8465 0.6923
O 0.6497 0.0994 0.7324
O 0.6497 0.4006 0.2324
O 0.6583 0.5617 0.4247
O 0.6583 0.9383 0.9247
O 0.8822 0.5207 0.1318
O 0.8822 0.9793 0.6318
O 0.8908 0.6806 0.3235
O 0.8908 0.8194 0.8235
O 0.9018 0.0696 0.8623
O 0.9018 0.4304 0.3623

Raw formation energy ... -1.46 eV per atom
Crystal system ... monoclinic
Volume ... 880.7 Å³ per cell
SG ... P2_1/c
DOS at the Fermi energy ... 0.00 states/eV/f.u.


Record 11
## PS2O (PBE)

Data for an optimized crystal structure of PS2O.

Unit cell a=8.0473 b=8.0473 c=8.0473 alpha=20.03 beta=20.03 gamma=20.03
Positions (direct):
P 0.0000 0.0000 0.0000
S 0.0966 0.0966 0.0966
S 0.9034 0.9034 0.9034
O 0.5000 0.5000 0.5000

Raw formation energy ... 0.89 eV per atom
Crystal system ... trigonal
ΔE to the lowest computed polymorph ... 1.281 eV/atom
Volume ... 53.5 Å³ per cell
SG ... R-3m
DOS at the Fermi energy ... 2.62 states/eV/f.u.


Record 12
## PS2O (PBE)

Data for an optimized crystal structure of PS2O.

Unit cell a=4.1235 b=4.1235 c=4.1235 alpha=60.00 beta=60.00 gamma=60.00
Positions (direct):
P 0.0000 0.0000 0.0000
S 0.2500 0.2500 0.2500
S 0.7500 0.7500 0.7500
O 0.5000 0.5000 0.5000

Raw formation energy ... 0.90 eV per atom
Crystal system ... cubic
ΔE to the lowest computed polymorph ... 1.289 eV/atom
Volume ... 49.6 Å³ per cell
SG ... Fm-3m
DOS at the Fermi energy ... 2.57 states/eV/f.u.


Record 13
## SbPSO2 (PBE)

Data for an optimized crystal structure of SbPSO2.

Unit cell a=3.8040 b=3.8040 c=5.8247 alpha=90.00 beta=90.00 gamma=90.00
Positions (direct):
Sb 0.0000 0.0000 0.0000
P 0.0000 0.0000 0.5000
S 0.5000 0.5000 0.5000
O 0.0000 0.5000 0.0000
O 0.5000 0.0000 0.0000

Raw formation energy ... -0.17 eV per atom
Crystal system ... tetragonal
Volume ... 84.3 Å³ per cell
SG ... P4/mmm
DOS at the Fermi energy ... 2.48 states/eV/f.u.


Record 14
## SbPS2O (PBE)

Data for an optimized crystal structure of SbPS2O.

Unit cell a=4.4328 b=4.4328 c=4.1848 alpha=90.00 beta=90.00 gamma=90.00
Positions (direct):
Sb 0.0000 0.0000 0.0000
P 0.5000 0.5000 0.0000
S 0.0000 0.5000 0.5000
S 0.5000 0.0000 0.5000
O 0.5000 0.5000 0.5000

Raw formation energy ... 0.57 eV per atom
Crystal system ... tetragonal
ΔE to the lowest computed polymorph ... 0.000 eV/atom
Volume ... 82.2 Å³ per cell
SG ... P4/mmm
DOS at the Fermi energy ... 1.85 states/eV/f.u.


Record 15
## SbPS2O (PBE)

Data for an optimized crystal structure of SbPS2O.

Unit cell a=4.9448 b=4.9448 c=5.3584 alpha=90.00 beta=90.00 gamma=90.00
Positions (direct):
Sb 0.0000 0.0000 0.0000
P 0.0000 0.0000 0.5000
S 0.0000 0.5000 0.0000
S 0.5000 0.0000 0.0000
O 0.5000 0.5000 0.5000

Raw formation energy ... 1.41 eV per atom
Crystal system ... tetragonal
ΔE to the lowest computed polymorph ... 0.842 eV/atom
Volume ... 131.0 Å³ per cell
SG ... P4/mmm
DOS at the Fermi energy ... 6.88 states/eV/f.u.


Record 16
## SbPSO2 (PBE)

Data for an optimized crystal structure of SbPSO2.

Unit cell a=3.8466 b=3.8466 c=4.6876 alpha=90.00 beta=90.00 gamma=90.00
Positions (direct):
Sb 0.0000 0.0000 0.0000
P 0.5000 0.5000 0.0000
S 0.5000 0.5000 0.5000
O 0.0000 0.5000 0.5000
O 0.5000 0.0000 0.5000

Raw formation energy ... 0.14 eV per atom
Crystal system ... tetragonal
Volume ... 69.4 Å³ per cell
SG ... P4/mmm
DOS at the Fermi energy ... 1.58 states/eV/f.u.


Record 17
## ScP2SO (PBE)

Data for an optimized crystal structure of ScP2SO.

Unit cell a=4.9805 b=4.9805 c=4.6898 alpha=90.00 beta=90.00 gamma=90.00
Positions (direct):
Sc 0.0000 0.0000 0.0000
P 0.0000 0.5000 0.0000
P 0.5000 0.0000 0.0000
S 0.0000 0.0000 0.5000
O 0.5000 0.5000 0.5000

Raw formation energy ... 0.88 eV per atom
Crystal system ... tetragonal
ΔE to the lowest computed polymorph ... 1.187 eV/atom
Volume ... 116.3 Å³ per cell
SG ... P4/mmm
DOS at the Fermi energy ... 9.87 states/eV/f.u.


Record 18
## Sc6P2S3O (PBE)

Data for an optimized crystal structure of Sc6P2S3O.

Unit cell a=8.1895 b=8.1895 c=7.3203 alpha=103.68 beta=103.68 gamma=25.62
Positions (direct):
Sc 0.0013 0.0013 0.2245
Sc 0.3337 0.3337 0.4225
Sc 0.3536 0.3536 0.9235
Sc 0.6464 0.6464 0.0765
Sc 0.6663 0.6663 0.5775
Sc 0.9987 0.9987 0.7755
P 0.1654 0.1654 0.3287
P 0.8346 0.8346 0.6713
S 0.1677 0.1677 0.8371
S 0.5000 0.5000 0.5000
S 0.8323 0.8323 0.1629
O 0.5000 0.5000 0.0000

Raw formation energy ... -1.89 eV per atom
Crystal system ... monoclinic
Volume ... 205.9 Å³ per cell
SG ... C2/m
DOS at the Fermi energy ... 4.39 states/eV/f.u.


Record 19
## ScP2SO (PBE)

Data for an optimized crystal structure of ScP2SO.

Unit cell a=3.7554 b=3.7554 c=5.9087 alpha=90.00 beta=90.00 gamma=90.00
Positions (direct):
Sc 0.0000 0.0000 0.0000
P 0.0000 0.5000 0.5000
P 0.5000 0.0000 0.5000
S 0.5000 0.5000 0.0000
O 0.5000 0.5000 0.5000

Raw formation energy ... -0.31 eV per atom
Crystal system ... tetragonal
ΔE to the lowest computed polymorph ... 0.000 eV/atom
Volume ... 83.3 Å³ per cell
SG ... P4/mmm
DOS at the Fermi energy ... 2.39 states/eV/f.u.


Record 20
## ScP2SO (PBE)

Data for an optimized crystal structure of ScP2SO.

Unit cell a=4.6569 b=4.6569 c=3.5630 alpha=90.00 beta=90.00 gamma=90.00
Positions (direct):
Sc 0.0000 0.0000 0.0000
P 0.0000 0.5000 0.5000
P 0.5000 0.0000 0.5000
S 0.5000 0.5000 0.5000
O 0.5000 0.5000 0.0000

Raw formation energy ... -0.12 eV per atom
Crystal system ... tetragonal
ΔE to the lowest computed polymorph ... 0.186 eV/atom
Volume ... 77.3 Å³ per cell
SG ... P4/mmm
DOS at the Fermi energy ... 2.78 states/eV/f.u.


Record 21
## ScP2SO (PBE)

Data for an optimized crystal structure of ScP2SO.

Unit cell a=5.1230 b=5.1230 c=3.8279 alpha=90.00 beta=90.00 gamma=90.00
Positions (direct):
Sc 0.0000 0.0000 0.0000
P 0.0000 0.5000 0.0000
P 0.5000 0.0000 0.0000
S 0.5000 0.5000 0.5000
O 0.0000 0.0000 0.5000

Raw formation energy ... 0.03 eV per atom
Crystal system ... tetragonal
ΔE to the lowest computed polymorph ... 0.340 eV/atom
Volume ... 100.5 Å³ per cell
SG ... P4/mmm
DOS at the Fermi energy ... 4.62 states/eV/f.u.


Record 22
## PSeS2O (PBE)

Data for an optimized crystal structure of PSeS2O.

Unit cell a=4.2894 b=4.2894 c=4.2950 alpha=90.00 beta=90.00 gamma=90.00
Positions (direct):
P 0.0000 0.0000 0.0000
Se 0.5000 0.5000 0.0000
S 0.0000 0.5000 0.5000
S 0.5000 0.0000 0.5000
O 0.0000 0.0000 0.5000

Raw formation energy ... 0.94 eV per atom
Crystal system ... tetragonal
ΔE to the lowest computed polymorph ... 0.000 eV/atom
Volume ... 79.0 Å³ per cell
SG ... P4/mmm
DOS at the Fermi energy ... 2.89 states/eV/f.u.